Entry from Alexandria via LeMat-Bulk: a geometry-optimized YBe2Au6 structure (PBE-GGA).

Values from the calculation:
ΔH_f (0 K) in meV/atom: -232
DOS at the Fermi energy in states/eV/cell: 2.963
SG: No. 12
Polymorph energy (0 for the lowest one) in eV per atom: 0.000
Total magnetic moment in μB/cell: 0.00

abc: 6.9406 6.9406 4.1883
angles: 106.15 106.15 62.11
Element x y z (fractional)
Y 0.0000 0.0000 0.0000
Be 0.3084 0.3084 0.3052
Be 0.6916 0.6916 0.6948
Au 0.1262 0.5172 0.8191
Au 0.2996 0.7004 0.5000
Au 0.4828 0.8738 0.1809
Au 0.5172 0.1262 0.8191
Au 0.7004 0.2996 0.5000
Au 0.8738 0.4828 0.1809


Entry from Alexandria via LeMat-Bulk: a geometry-optimized Ba3EuNi structure (PBE-GGA).

Values from the calculation:
ΔH_f (0 K) in meV/atom: 61
DOS at the Fermi energy in states/eV/cell: 3.684
SG: No. 221
Total magnetic moment in μB/cell: 7.53

abc: 6.2520 6.2520 6.2520
angles: 90.00 90.00 90.00
Element x y z (fractional)
Ba 0.0000 0.0000 0.5000
Ba 0.0000 0.5000 0.0000
Ba 0.5000 0.0000 0.0000
Eu 0.5000 0.5000 0.5000
Ni 0.0000 0.0000 0.0000


Entry from Alexandria via LeMat-Bulk: a geometry-optimized La5Pm6In structure (PBE-GGA).

Values from the calculation:
ΔH_f (0 K) in meV/atom: -65
DOS at the Fermi energy in states/eV/cell: 16.096
SG: No. 12
Total magnetic moment in μB/cell: 0.00

abc: 6.2850 6.2850 12.0906
angles: 95.02 95.02 120.04
Element x y z (fractional)
La 0.0000 0.0000 0.0000
La 0.1663 0.8337 0.5000
La 0.3296 0.6704 0.0000
La 0.6704 0.3296 0.0000
La 0.8337 0.1663 0.5000
Pm 0.0943 0.4185 0.2542
Pm 0.2576 0.2576 0.7476
Pm 0.4185 0.0943 0.2542
Pm 0.5815 0.9057 0.7458
Pm 0.7424 0.7424 0.2524
Pm 0.9057 0.5815 0.7458
In 0.5000 0.5000 0.5000


Copy entry 2 word for word.
Entry from Alexandria via LeMat-Bulk: a geometry-optimized Ba3EuNi structure (PBE-GGA).

Values from the calculation:
ΔH_f (0 K) in meV/atom: 61
DOS at the Fermi energy in states/eV/cell: 3.684
SG: No. 221
Total magnetic moment in μB/cell: 7.53

abc: 6.2520 6.2520 6.2520
angles: 90.00 90.00 90.00
Element x y z (fractional)
Ba 0.0000 0.0000 0.5000
Ba 0.0000 0.5000 0.0000
Ba 0.5000 0.0000 0.0000
Eu 0.5000 0.5000 0.5000
Ni 0.0000 0.0000 0.0000


Question: Look up the ΔH_f (0 K) of the second one.
Answer: 61 meV/atom


Question: The lowest ΔH_f (0 K) belongs to which entry?
Answer: YBe2Au6


Question: What is the total magnetic moment in the first record?
Answer: 0.00 μB/cell